1.
# Zr2CrCo2 | Alexandria | PBE-GGA | optimized geometry
# **VASP energy**: -8.2467 eV/atom
# **ΔE to the lowest computed polymorph**: 0 meV per atom
# **Energy relative to the elements**: -0.30 eV/f.u.
data_Zr2CrCo2
_space_group_name_H-M_alt 'P 1'
_space_group_IT_number 1
_cell_length_a 6.135
_cell_length_b 6.135
_cell_length_c 4.162
_cell_angle_alpha 90.00
_cell_angle_beta 90.00
_cell_angle_gamma 90.00
loop_
_space_group_symop_operation_xyz
'x,y,z'
loop_
_atom_site_label
_atom_site_type_symbol
_atom_site_fract_x
_atom_site_fract_y
_atom_site_fract_z
Zr1 Zr 0.178 0.322 0.000
Zr2 Zr 0.322 0.822 0.000
Zr3 Zr 0.678 0.178 0.000
Zr4 Zr 0.822 0.678 0.000
Cr1 Cr 0.000 0.000 0.500
Cr2 Cr 0.500 0.500 0.500
Co1 Co 0.137 0.637 0.500
Co2 Co 0.363 0.137 0.500
Co3 Co 0.637 0.863 0.500
Co4 Co 0.863 0.363 0.500

***

2.
# YMo | Alexandria | PBE-GGA | optimized geometry
# **VASP energy**: -8.0832 eV/atom
# **ΔE to the lowest computed polymorph**: 429 meV per atom
# **Energy relative to the elements**: 1.13 eV/f.u.
data_YMo
_space_group_name_H-M_alt 'P 1'
_space_group_IT_number 1
_cell_length_a 5.061
_cell_length_b 5.061
_cell_length_c 4.673
_cell_angle_alpha 90.00
_cell_angle_beta 90.00
_cell_angle_gamma 120.00
loop_
_space_group_symop_operation_xyz
'x,y,z'
loop_
_atom_site_label
_atom_site_type_symbol
_atom_site_fract_x
_atom_site_fract_y
_atom_site_fract_z
Y1 Y 0.333 0.667 0.250
Y2 Y 0.667 0.333 0.750
Mo1 Mo 0.000 0.000 0.000
Mo2 Mo 0.000 0.000 0.500

***

3.
# Ac8Sn3O2 | Alexandria | PBE-GGA | optimized geometry
# **VASP energy**: -5.2648 eV/atom
# **E_form (uncorrected)**: -1050 meV/atom
data_Ac8Sn3O2
_space_group_name_H-M_alt 'P 1'
_space_group_IT_number 1
_cell_length_a 10.502
_cell_length_b 10.502
_cell_length_c 10.502
_cell_angle_alpha 42.21
_cell_angle_beta 42.21
_cell_angle_gamma 42.21
loop_
_space_group_symop_operation_xyz
'x,y,z'
loop_
_atom_site_label
_atom_site_type_symbol
_atom_site_fract_x
_atom_site_fract_y
_atom_site_fract_z
Ac1 Ac 0.182 0.182 0.182
Ac2 Ac 0.229 0.229 0.725
Ac3 Ac 0.229 0.725 0.229
Ac4 Ac 0.275 0.771 0.771
Ac5 Ac 0.725 0.229 0.229
Ac6 Ac 0.771 0.275 0.771
Ac7 Ac 0.771 0.771 0.275
Ac8 Ac 0.818 0.818 0.818
Sn1 Sn 0.299 0.299 0.299
Sn2 Sn 0.500 0.500 0.500
Sn3 Sn 0.701 0.701 0.701
O1 O 0.100 0.100 0.100
O2 O 0.900 0.900 0.900

***

4.
# Pm2ErIn3Hg6 | Alexandria | PBE-GGA | optimized geometry
# **VASP energy**: -2.0877 eV/atom
# **Energy relative to the elements**: -0.96 eV/f.u.
data_Pm2ErIn3Hg6
_space_group_name_H-M_alt 'P 1'
_space_group_IT_number 1
_cell_length_a 4.274
_cell_length_b 4.274
_cell_length_c 20.257
_cell_angle_alpha 90.00
_cell_angle_beta 90.00
_cell_angle_gamma 90.00
loop_
_space_group_symop_operation_xyz
'x,y,z'
loop_
_atom_site_label
_atom_site_type_symbol
_atom_site_fract_x
_atom_site_fract_y
_atom_site_fract_z
Pm1 Pm 0.000 0.000 0.219
Pm2 Pm 0.000 0.000 0.781
Er1 Er 0.000 0.000 0.500
In1 In 0.500 0.500 0.000
In2 In 0.500 0.500 0.282
In3 In 0.500 0.500 0.718
Hg1 Hg 0.000 0.500 0.389
Hg2 Hg 0.000 0.500 0.611
Hg3 Hg 0.500 0.000 0.389
Hg4 Hg 0.500 0.000 0.611
Hg5 Hg 0.500 0.500 0.138
Hg6 Hg 0.500 0.500 0.862

***

VASP energy of number 3 (Ac8Sn3O2)? -5.2648 eV/atom

***

Which of these has the highest VASP energy? Pm2ErIn3Hg6

***

Among the records above, which one has the lowest VASP energy? Zr2CrCo2